1.
The following is a PBE-GGA calculation of a geometry-optimized CeDy2IrN4 structure, from Alexandria.

abc: 3.374 11.715 11.635
angles: 90.00 90.00 90.00
Space group Cmcm (No. 63)
Unique sites:
Ce (0.000, 0.114, 0.250) x4
Dy (0.000, 0.371, 0.047) x8
Ir (0.000, 0.146, 0.750) x4
N (0.000, 0.000, 0.000) x4
N (0.000, 0.277, 0.631) x8
N (0.000, 0.457, 0.250) x4

Properties
**Formation energy (no corrections)**: -1.0186 eV per atom
**Energy**: -261.80 eV/cell
**M_tot**: 0.0 Bohr magnetons per cell
**Fermi-level density of states**: 0.376 states/eV/atom
**Calculated density**: 10.30 g cm⁻³

2.
The following is a PBE-GGA calculation of a geometry-optimized CeDyNiIr structure, from Alexandria.

abc: 6.884 6.884 6.884
angles: 90.00 90.00 90.00
Space group F-43m (No. 216)
Unique sites:
Ce (0.000, 0.000, 0.000) x4
Dy (0.000, 0.000, 0.500) x4
Ni (0.250, 0.250, 0.250) x4
Ir (0.250, 0.250, 0.750) x4

Properties
**Polymorph energy (0 for the lowest one)**: 0.078 eV per atom
**Formation enthalpy at 0 K**: -2.16 eV per formula unit
**Energy**: -109.37 eV/cell
**M_tot**: 1.6 Bohr magnetons per cell
**Fermi-level density of states**: 1.716 states/eV/atom
**Calculated density**: 11.27 g cm⁻³

3.
The following is a PBE-GGA calculation of a geometry-optimized CeDyNiIr structure, from Alexandria.

abc: 4.448 3.721 10.124
angles: 90.00 90.00 90.00
Space group Amm2 (No. 38)
Unique sites:
Ce (0.000, 0.000, 0.000) x2
Dy (0.500, 0.000, 0.278) x2
Ni (0.500, 0.000, 0.557) x2
Ir (0.000, 0.000, 0.722) x2

Properties
**Polymorph energy (0 for the lowest one)**: 0.000 eV per atom
**Formation enthalpy at 0 K**: -2.48 eV per formula unit
**Energy**: -55.31 eV/cell
**M_tot**: 0.0 Bohr magnetons per cell
**Fermi-level density of states**: 1.148 states/eV/atom
**Calculated density**: 10.97 g cm⁻³

4.
The following is a PBE-GGA calculation of a geometry-optimized CeDyIrOs structure, from Alexandria.

abc: 6.905 6.905 6.905
angles: 90.00 90.00 90.00
Space group F-43m (No. 216)
Unique sites:
Ce (0.000, 0.000, 0.000) x4
Dy (0.000, 0.000, 0.500) x4
Ir (0.250, 0.250, 0.250) x4
Os (0.250, 0.250, 0.750) x4

Properties
**Formation enthalpy at 0 K**: -1.64 eV per formula unit
**Energy**: -129.08 eV/cell
**M_tot**: 0.0 Bohr magnetons per cell
**Fermi-level density of states**: 0.815 states/eV/atom
**Calculated density**: 13.82 g cm⁻³

5.
The following is a PBE-GGA calculation of a geometry-optimized Ce2DyP3Ir4 structure, from Alexandria.

abc: 4.005 4.005 11.351
angles: 90.00 90.00 90.00
Space group P-4m2 (No. 115)
Unique sites:
Ce (0.000, 0.500, 0.228) x2
Dy (0.000, 0.000, 0.500) x1
P (0.000, 0.500, 0.879) x2
P (0.500, 0.500, 0.500) x1
Ir (0.000, 0.000, 0.000) x1
Ir (0.000, 0.500, 0.675) x2
Ir (0.500, 0.500, 0.000) x1

Properties
**Formation enthalpy at 0 K**: -9.52 eV per formula unit
**Energy**: -77.67 eV/cell
**M_tot**: 0.2 Bohr magnetons per cell
**Fermi-level density of states**: 0.815 states/eV/atom
**Calculated density**: 11.90 g cm⁻³

6.
The following is a PBE-GGA calculation of a geometry-optimized CeDyIrPt structure, from Alexandria.

abc: 7.008 7.008 7.008
angles: 90.00 90.00 90.00
Space group F-43m (No. 216)
Unique sites:
Ce (0.000, 0.000, 0.000) x4
Dy (0.000, 0.000, 0.500) x4
Ir (0.250, 0.250, 0.750) x4
Pt (0.250, 0.250, 0.250) x4

Properties
**Polymorph energy (0 for the lowest one)**: 0.134 eV per atom
**Formation enthalpy at 0 K**: -3.58 eV per formula unit
**Energy**: -116.08 eV/cell
**M_tot**: 2.9 Bohr magnetons per cell
**Fermi-level density of states**: 1.682 states/eV/atom
**Calculated density**: 13.31 g cm⁻³

7.
The following is a PBE-GGA calculation of a geometry-optimized CeDyIrPt structure, from Alexandria.

abc: 4.195 3.819 11.124
angles: 90.00 90.00 90.00
Space group Amm2 (No. 38)
Unique sites:
Ce (0.000, 0.000, 0.000) x2
Dy (0.500, 0.000, 0.278) x2
Ir (0.500, 0.000, 0.539) x2
Pt (0.000, 0.000, 0.724) x2

Properties
**Polymorph energy (0 for the lowest one)**: 0.000 eV per atom
**Formation enthalpy at 0 K**: -4.12 eV per formula unit
**Energy**: -59.12 eV/cell
**M_tot**: 0.0 Bohr magnetons per cell
**Fermi-level density of states**: 1.079 states/eV/atom
**Calculated density**: 12.86 g cm⁻³

8.
The following is a PBE-GGA calculation of a geometry-optimized CeDyIrRh structure, from Alexandria.

abc: 4.168 3.845 10.736
angles: 90.00 90.00 90.00
Space group Amm2 (No. 38)
Unique sites:
Ce (0.000, 0.000, 0.000) x2
Dy (0.500, 0.000, 0.718) x2
Ir (0.500, 0.000, 0.447) x2
Rh (0.000, 0.000, 0.262) x2

Properties
**Polymorph energy (0 for the lowest one)**: 0.000 eV per atom
**Formation enthalpy at 0 K**: -3.33 eV per formula unit
**Energy**: -60.15 eV/cell
**M_tot**: 0.0 Bohr magnetons per cell
**Fermi-level density of states**: 0.726 states/eV/atom
**Calculated density**: 11.54 g cm⁻³

9.
The following is a PBE-GGA calculation of a geometry-optimized CeDyIrRh structure, from Alexandria.

abc: 6.929 6.929 6.929
angles: 90.00 90.00 90.00
Space group F-43m (No. 216)
Unique sites:
Ce (0.000, 0.000, 0.000) x4
Dy (0.000, 0.000, 0.500) x4
Ir (0.250, 0.250, 0.750) x4
Rh (0.250, 0.250, 0.250) x4

Properties
**Polymorph energy (0 for the lowest one)**: 0.075 eV per atom
**Formation enthalpy at 0 K**: -3.03 eV per formula unit
**Energy**: -119.11 eV/cell
**M_tot**: 1.9 Bohr magnetons per cell
**Fermi-level density of states**: 1.292 states/eV/atom
**Calculated density**: 11.94 g cm⁻³

10.
The following is a PBE-GGA calculation of a geometry-optimized CeDyIrRu structure, from Alexandria.

abc: 3.495 3.495 6.716
angles: 90.00 90.00 90.00
Space group P4mm (No. 99)
Unique sites:
Ce (0.000, 0.000, 0.000) x1
Dy (0.000, 0.000, 0.502) x1
Ir (0.500, 0.500, 0.759) x1
Ru (0.500, 0.500, 0.236) x1

Properties
**Polymorph energy (0 for the lowest one)**: 0.000 eV per atom
**Formation enthalpy at 0 K**: -2.24 eV per formula unit
**Energy**: -30.91 eV/cell
**M_tot**: 0.0 Bohr magnetons per cell
**Fermi-level density of states**: 0.763 states/eV/atom
**Calculated density**: 12.06 g cm⁻³

11.
The following is a PBE-GGA calculation of a geometry-optimized CeDyIrRu structure, from Alexandria.

abc: 6.897 6.897 6.897
angles: 90.00 90.00 90.00
Space group F-43m (No. 216)
Unique sites:
Ce (0.000, 0.000, 0.000) x4
Dy (0.000, 0.000, 0.500) x4
Ir (0.250, 0.250, 0.750) x4
Ru (0.250, 0.250, 0.250) x4

Properties
**Polymorph energy (0 for the lowest one)**: 0.018 eV per atom
**Formation enthalpy at 0 K**: -2.17 eV per formula unit
**Energy**: -123.36 eV/cell
**M_tot**: 0.5 Bohr magnetons per cell
**Fermi-level density of states**: 0.977 states/eV/atom
**Calculated density**: 12.07 g cm⁻³

12.
The following is a PBE-GGA calculation of a geometry-optimized Ce2DySi3Ir4 structure, from Alexandria.

abc: 4.119 4.119 11.073
angles: 90.00 90.00 90.00
Space group P-4m2 (No. 115)
Unique sites:
Ce (0.000, 0.500, 0.232) x2
Dy (0.000, 0.000, 0.500) x1
Si (0.000, 0.500, 0.883) x2
Si (0.500, 0.500, 0.500) x1
Ir (0.000, 0.000, 0.000) x1
Ir (0.000, 0.500, 0.666) x2
Ir (0.500, 0.500, 0.000) x1

Properties
**Formation energy (no corrections)**: -0.9381 eV per atom
**Energy**: -77.56 eV/cell
**M_tot**: 1.3 Bohr magnetons per cell
**Fermi-level density of states**: 0.901 states/eV/atom
**Calculated density**: 11.46 g cm⁻³